Entry from Alexandria: a geometry-optimized ZrCoIr structure (GGA-PBEsol).

CIF file:
```
data_ZrCoIr
_cell_length_a 4.255
_cell_length_b 4.255
_cell_length_c 4.255
_cell_angle_alpha 60.00
_cell_angle_beta 60.00
_cell_angle_gamma 60.00
_space_group_name_H-M_alt 'P 1'
_space_group_IT_number 1
loop_
_space_group_symop_operation_xyz
'x,y,z'
loop_
_atom_site_label
_atom_site_type_symbol
_atom_site_fract_x
_atom_site_fract_y
_atom_site_fract_z
Zr1 Zr 0.000 0.000 0.000
Co1 Co 0.500 0.500 0.500
Ir1 Ir 0.250 0.250 0.250
```

## Properties
ΔE_f in eV per atom: 0.04
Crystal system: cubic
Uncorrected energy in eV/cell: -26.52

***

Entry from Alexandria: a geometry-optimized ZrCo2Ir structure (GGA-PBEsol).

CIF file:
```
data_ZrCo2Ir
_cell_length_a 3.797
_cell_length_b 3.797
_cell_length_c 3.697
_cell_angle_alpha 90.00
_cell_angle_beta 90.00
_cell_angle_gamma 90.00
_space_group_name_H-M_alt 'P 1'
_space_group_IT_number 1
loop_
_space_group_symop_operation_xyz
'x,y,z'
loop_
_atom_site_label
_atom_site_type_symbol
_atom_site_fract_x
_atom_site_fract_y
_atom_site_fract_z
Zr1 Zr 0.000 0.000 0.000
Co1 Co 0.000 0.500 0.500
Co2 Co 0.500 0.000 0.500
Ir1 Ir 0.500 0.500 0.000
```

## Properties
ΔE_f in eV per atom: -0.37
Crystal system: tetragonal
Uncorrected energy in eV/cell: -35.86

***

Entry from Alexandria: a geometry-optimized Zr2Co2Ir structure (GGA-PBEsol).

CIF file:
```
data_Zr2Co2Ir
_cell_length_a 6.625
_cell_length_b 6.625
_cell_length_c 3.417
_cell_angle_alpha 90.00
_cell_angle_beta 90.00
_cell_angle_gamma 90.00
_space_group_name_H-M_alt 'P 1'
_space_group_IT_number 1
loop_
_space_group_symop_operation_xyz
'x,y,z'
loop_
_atom_site_label
_atom_site_type_symbol
_atom_site_fract_x
_atom_site_fract_y
_atom_site_fract_z
Zr1 Zr 0.183 0.317 0.000
Zr2 Zr 0.317 0.817 0.000
Zr3 Zr 0.683 0.183 0.000
Zr4 Zr 0.817 0.683 0.000
Co1 Co 0.120 0.620 0.500
Co2 Co 0.380 0.120 0.500
Co3 Co 0.620 0.880 0.500
Co4 Co 0.880 0.380 0.500
Ir1 Ir 0.000 0.000 0.500
Ir2 Ir 0.500 0.500 0.500
```

## Properties
ΔE_f in eV per atom: -0.48
Crystal system: tetragonal
Uncorrected energy in eV/cell: -91.76